VASP calculation (PBE) on a relaxed structure of ZrAgAu3.

a = 5.2429 Å, b = 5.2429 Å, c = 5.2429 Å
α = 90.00°, β = 90.00°, γ = 90.00°
Positions (direct):
Au1 0.5000 0.0000 0.0000
Au2 0.0000 0.5000 0.0000
Au3 0.0000 0.0000 0.5000
Ag1 0.5000 0.5000 0.5000
Zr1 0.0000 0.0000 0.0000

Mass density   9.10 g/cm3
Total magnetization   0.0 μB/cell
Energy relative to the elements   0.711 eV/atom
DOS(E_F)   4.2 states/eV per cell
Symmetry   Pm-3m, No. 221


VASP calculation (PBE) on a relaxed structure of Zr3AgAu2.

a = 2.9056 Å, b = 5.3372 Å, c = 8.8133 Å
α = 107.63°, β = 99.49°, γ = 90.00°
Positions (direct):
Au1 0.6520 0.6520 0.3040
Au2 0.3480 0.3480 0.6960
Zr1 0.0000 0.5000 0.0000
Zr2 0.8218 0.8218 0.6436
Zr3 0.1782 0.1782 0.3564
Ag1 0.0000 0.0000 0.0000

Mass density   10.04 g/cm3
Total magnetization   0.0 μB/cell
Energy relative to the elements   0.005 eV/atom
DOS(E_F)   4.7 states/eV per cell
Symmetry   Immm, No. 71


VASP calculation (PBE) on a relaxed structure of ZrAg2Au2.

a = 3.8842 Å, b = 3.8842 Å, c = 7.2593 Å
α = 74.48°, β = 74.48°, γ = 90.00°
Each line ends with the local moment (μB).
Positions (direct):
Au1 0.7500 0.2500 0.5000  0.01
Au2 0.2500 0.7500 0.5000  0.01
Ag1 0.5984 0.5984 0.8032  0.02
Ag2 0.4016 0.4016 0.1968  0.02
Zr1 0.0000 0.0000 0.0000  0.26

Mass density   11.48 g/cm3
Total magnetization   0.5 μB/cell
Energy relative to the elements   0.148 eV/atom
DOS(E_F)   3.6 states/eV per cell
Symmetry   I4/mmm, No. 139


VASP calculation (PBE) on a relaxed structure of ZrAg2Au2.

a = 7.3091 Å, b = 7.3091 Å, c = 3.6984 Å
α = 90.00°, β = 90.00°, γ = 90.00°
Positions (direct):
Zr1 0.0000 0.0000 0.0000
Zr2 0.5000 0.5000 0.0000
Au1 0.1342 0.3658 0.0000
Au2 0.8658 0.6342 0.0000
Au3 0.3658 0.8658 0.0000
Au4 0.6342 0.1342 0.0000
Ag1 0.8342 0.3342 0.5000
Ag2 0.3342 0.1658 0.5000
Ag3 0.6658 0.8342 0.5000
Ag4 0.1658 0.6658 0.5000

Mass density   11.78 g/cm3
Total magnetization   0.0 μB/cell
Energy relative to the elements   -0.024 eV/atom
DOS(E_F)   2.1 states/eV per cell
Symmetry   P4/mbm, No. 127


VASP calculation (PBE) on a relaxed structure of Zr4AgAu.

a = 5.6759 Å, b = 5.6759 Å, c = 5.6759 Å
α = 60.00°, β = 60.00°, γ = 60.00°
Positions (direct):
Au1 0.0000 0.0000 0.0000
Zr1 0.3748 0.3748 0.3748
Zr2 0.3748 0.8757 0.3748
Zr3 0.3748 0.3748 0.8757
Zr4 0.8757 0.3748 0.3748
Ag1 0.7500 0.7500 0.7500

Mass density   8.60 g/cm3
Total magnetization   0.0 μB/cell
Energy relative to the elements   0.264 eV/atom
DOS(E_F)   5.1 states/eV per cell
Symmetry   F-43m, No. 216


VASP calculation (PBE) on a relaxed structure of Zr4AgAu.

a = 3.2896 Å, b = 3.2896 Å, c = 11.9052 Å
α = 90.00°, β = 90.00°, γ = 90.00°
Positions (direct):
Zr1 0.0000 0.0000 0.3405
Zr2 0.5000 0.5000 0.8356
Zr3 0.0000 0.0000 0.6595
Zr4 0.5000 0.5000 0.1644
Au1 0.5000 0.5000 0.5000
Ag1 0.0000 0.0000 0.0000

Mass density   8.63 g/cm3
Total magnetization   0.0 μB/cell
Energy relative to the elements   -0.258 eV/atom
DOS(E_F)   3.2 states/eV per cell
Symmetry   P4/mmm, No. 123


VASP calculation (PBE) on a relaxed structure of ZrAgAu3.

a = 5.7943 Å, b = 4.9988 Å, c = 9.0614 Å
α = 106.01°, β = 129.13°, γ = 90.00°
Positions (direct):
Zr1 0.9308 0.6024 0.2048
Zr2 0.0692 0.3976 0.7952
Au1 0.4619 0.6166 0.2333
Au2 0.8984 0.1933 0.3865
Au3 0.1016 0.8067 0.6135
Au4 0.7491 0.9991 0.9981
Au5 0.2509 0.0009 0.0019
Au6 0.5381 0.3834 0.7667
Ag1 0.6103 0.8090 0.6179
Ag2 0.3897 0.1910 0.3821

Mass density   13.79 g/cm3
Total magnetization   0.0 μB/cell
Energy relative to the elements   -0.236 eV/atom
DOS(E_F)   6.1 states/eV per cell
Symmetry   C2/m, No. 12


VASP calculation (PBE) on a relaxed structure of ZrAg2Au2.

a = 8.0102 Å, b = 8.0102 Å, c = 2.9820 Å
α = 90.00°, β = 90.00°, γ = 90.00°
Positions (direct):
Au1 0.1781 0.6781 0.5000
Au2 0.6781 0.8219 0.5000
Au3 0.3219 0.1781 0.5000
Au4 0.8219 0.3219 0.5000
Ag1 0.6210 0.1210 0.0000
Ag2 0.3790 0.8790 0.0000
Ag3 0.1210 0.3790 0.0000
Ag4 0.8790 0.6210 0.0000
Zr1 0.0000 0.0000 0.0000
Zr2 0.5000 0.5000 0.0000

Mass density   12.17 g/cm3
Total magnetization   0.0 μB/cell
Energy relative to the elements   -0.034 eV/atom
DOS(E_F)   6.2 states/eV per cell
Symmetry   P4/mbm, No. 127


VASP calculation (PBE) on a relaxed structure of Ag4B.

a = 4.3683 Å, b = 4.3683 Å, c = 4.3683 Å
α = 90.00°, β = 90.00°, γ = 90.00°
Positions (direct):
B1 0.5000 0.5000 0.5000
Ag1 0.5000 0.5000 0.0000
Ag2 0.0000 0.0000 0.0000
Ag3 0.0000 0.5000 0.5000
Ag4 0.5000 0.0000 0.5000

Mass density   8.81 g/cm3
Total magnetization   0.0 μB/cell
Energy relative to the elements   0.424 eV/atom
DOS(E_F)   1.9 states/eV per cell
Symmetry   Pm-3m, No. 221


VASP calculation (PBE) on a relaxed structure of BaAgB3.

a = 5.0055 Å, b = 5.0055 Å, c = 5.0055 Å
α = 90.00°, β = 90.00°, γ = 90.00°
Positions (direct):
Ag1 0.5000 0.5000 0.5000
B1 0.0000 0.0000 0.5000
B2 0.5000 0.0000 0.0000
B3 0.0000 0.5000 0.0000
Ba1 0.0000 0.0000 0.0000

Mass density   3.68 g/cm3
Total magnetization   0.0 μB/cell
Energy relative to the elements   2.877 eV/atom
DOS(E_F)   4.3 states/eV per cell
Symmetry   Pm-3m, No. 221


VASP calculation (PBE) on a relaxed structure of Ba2AgB.

a = 8.4045 Å, b = 8.4045 Å, c = 7.3018 Å
α = 54.86°, β = 54.86°, γ = 90.00°
Each line ends with the local moment (μB).
Positions (direct):
B1 0.5000 0.5000 0.0000  0.46
B2 0.2500 0.7500 0.5000  0.46
Ag1 0.0000 0.0000 0.0000  0.01
Ag2 0.7500 0.2500 0.5000  0.01
Ba1 0.8750 0.8261 0.7500  0.12
Ba2 0.3750 0.4239 0.7500  0.12
Ba3 0.1739 0.6250 0.2500  0.12
Ba4 0.5761 0.1250 0.2500  0.12

Mass density   4.36 g/cm3
Total magnetization   3.1 μB/cell
Energy relative to the elements   0.611 eV/atom
DOS(E_F)   9.3 states/eV per cell
Symmetry   I-42d, No. 122


VASP calculation (PBE) on a relaxed structure of BaAgB3.

a = 4.4688 Å, b = 4.4688 Å, c = 4.4688 Å
α = 90.00°, β = 90.00°, γ = 90.00°
Positions (direct):
Ag1 0.0000 0.0000 0.0000
Ba1 0.5000 0.5000 0.5000
B1 0.5000 0.0000 0.0000
B2 0.0000 0.5000 0.0000
B3 0.0000 0.0000 0.5000

Mass density   5.17 g/cm3
Total magnetization   0.3 μB/cell
Energy relative to the elements   1.524 eV/atom
DOS(E_F)   5.5 states/eV per cell
Symmetry   Pm-3m, No. 221


VASP calculation (PBE) on a relaxed structure of BaCaAgB2.

a = 4.9767 Å, b = 6.3006 Å, c = 4.9767 Å
α = 90.00°, β = 90.00°, γ = 90.00°
Positions (direct):
Ba1 0.0000 0.0000 0.0000
B1 0.0000 0.0000 0.5000
B2 0.5000 0.0000 0.0000
Ag1 0.5000 0.5000 0.5000
Ca1 0.0000 0.5000 0.0000

Mass density   3.27 g/cm3
Total magnetization   0.0 μB/cell
Energy relative to the elements   2.064 eV/atom
DOS(E_F)   4.6 states/eV per cell
Symmetry   P4/mmm, No. 123


VASP calculation (PBE) on a relaxed structure of BaAgBH2.

a = 3.9107 Å, b = 6.7250 Å, c = 3.9107 Å
α = 90.00°, β = 90.00°, γ = 90.00°
Each line ends with the local moment (μB).
Positions (direct):
Ba1 0.0000 0.5000 0.0000  0.12
B1 0.5000 0.5000 0.5000  0.34
H1 0.5000 0.0000 0.0000  0.01
H2 0.0000 0.0000 0.5000  0.00
Ag1 0.0000 0.0000 0.0000  0.01

Mass density   4.17 g/cm3
Total magnetization   1.2 μB/cell
DOS(E_F)   2.4 states/eV per cell
Symmetry   P4/mmm, No. 123
E_tot   -2.67 eV/atom


VASP calculation (PBE) on a relaxed structure of Ba2MnAgB.

a = 6.2462 Å, b = 4.1748 Å, c = 6.2462 Å
α = 90.00°, β = 90.00°, γ = 90.00°
Positions (direct):
Ag1 0.0000 0.0000 0.0000
B1 0.0000 0.5000 0.0000
Mn1 0.5000 0.5000 0.5000
Ba1 0.5000 0.0000 0.0000
Ba2 0.0000 0.0000 0.5000

Mass density   4.57 g/cm3
Total magnetization   0.2 μB/cell
Energy relative to the elements   1.183 eV/atom
DOS(E_F)   9.8 states/eV per cell
Symmetry   P4/mmm, No. 123


VASP calculation (PBE) on a relaxed structure of BaAg2BN.

a = 4.3047 Å, b = 5.2226 Å, c = 4.3047 Å
α = 90.00°, β = 90.00°, γ = 90.00°
Positions (direct):
Ba1 0.5000 0.5000 0.5000
B1 0.0000 0.0000 0.0000
Ag1 0.0000 0.0000 0.5000
Ag2 0.5000 0.0000 0.0000
N1 0.0000 0.5000 0.0000

Mass density   6.48 g/cm3
Total magnetization   0.0 μB/cell
DOS(E_F)   2.5 states/eV per cell
Symmetry   P4/mmm, No. 123
Raw formation energy   0.71 eV per atom


VASP calculation (PBE) on a relaxed structure of BaAg2BN.

a = 6.1909 Å, b = 6.1909 Å, c = 5.5957 Å
α = 90.00°, β = 90.00°, γ = 90.00°
Each line ends with the local moment (μB).
Positions (direct):
N1 0.5000 0.5000 0.5000  0.39
Ba1 0.0000 0.0000 0.0000  0.00
Ag1 0.5000 0.0000 0.0000  -0.03
Ag2 0.0000 0.5000 0.0000  -0.03
B1 0.0000 0.0000 0.5000  0.08

Mass density   2.93 g/cm3
Total magnetization   0.6 μB/cell
DOS(E_F)   7.8 states/eV per cell
Symmetry   P4/mmm, No. 123
Raw formation energy   2.77 eV per atom


VASP calculation (PBE) on a relaxed structure of BaAg2BO4.

a = 5.6880 Å, b = 5.2316 Å, c = 5.2316 Å
α = 79.21°, β = 57.07°, γ = 57.07°
Positions (direct):
Ag1 0.0000 0.7454 0.2546
Ag2 0.0000 0.2546 0.7454
O1 0.5000 0.2196 0.4699
O2 0.8105 0.4699 0.2196
O3 0.1895 0.7804 0.5301
O4 0.5000 0.5301 0.7804
Ba1 0.5000 0.0000 0.0000
B1 0.5000 0.5000 0.5000

Mass density   6.56 g/cm3
Total magnetization   0.0 μB/cell
DOS(E_F)   3.6 states/eV per cell
Symmetry   I222, No. 23
Raw formation energy   -1.44 eV per atom


VASP calculation (PBE) on a relaxed structure of Ba2AgB2O6.

a = 5.2100 Å, b = 6.0558 Å, c = 6.5002 Å
α = 113.70°, β = 90.00°, γ = 115.48°
Positions (direct):
B1 0.0132 0.0265 0.2619
B2 0.9868 0.9735 0.7381
O1 0.8389 0.1300 0.7843
O2 0.8487 0.6974 0.6605
O3 0.7089 0.8700 0.2157
O4 0.1513 0.3026 0.3395
O5 0.1611 0.8700 0.2157
O6 0.2911 0.1300 0.7843
Ba1 0.3031 0.6062 0.7965
Ba2 0.6969 0.3938 0.2035
Ag1 0.5000 0.0000 0.5000

Mass density   5.01 g/cm3
Total magnetization   0.0 μB/cell
DOS(E_F)   1.9 states/eV per cell
Symmetry   C2/m, No. 12
Raw formation energy   -2.27 eV per atom


VASP calculation (PBE) on a relaxed structure of Ba3AgB2O6.

a = 5.6075 Å, b = 5.6075 Å, c = 8.2960 Å
α = 90.00°, β = 90.00°, γ = 120.00°
Positions (direct):
Ba1 0.6667 0.3333 0.2930
Ba2 0.3333 0.6667 0.7070
Ba3 0.0000 0.0000 0.0000
O1 0.8100 0.6199 0.7701
O2 0.1900 0.8100 0.2299
O3 0.8100 0.1900 0.7701
O4 0.1900 0.3801 0.2299
O5 0.6199 0.8100 0.2299
O6 0.3801 0.1900 0.7701
B1 0.6667 0.3333 0.7703
B2 0.3333 0.6667 0.2297
Ag1 0.0000 0.0000 0.5000

Mass density   4.69 g/cm3
Total magnetization   0.0 μB/cell
DOS(E_F)   2.3 states/eV per cell
Symmetry   P-3m1, No. 164
Raw formation energy   -2.24 eV per atom


VASP calculation (PBE) on a relaxed structure of BaAg2BOs.

a = 5.2833 Å, b = 4.1164 Å, c = 5.2833 Å
α = 90.00°, β = 90.00°, γ = 90.00°
Positions (direct):
Ba1 0.5000 0.5000 0.5000
B1 0.0000 0.5000 0.0000
Ag1 0.0000 0.0000 0.5000
Ag2 0.5000 0.0000 0.0000
Os1 0.0000 0.0000 0.0000

Mass density   8.01 g/cm3
Total magnetization   0.0 μB/cell
Energy relative to the elements   0.472 eV/atom
DOS(E_F)   3.5 states/eV per cell
Symmetry   P4/mmm, No. 123


VASP calculation (PBE) on a relaxed structure of BaRe2AgB.

a = 4.3336 Å, b = 4.9865 Å, c = 4.3336 Å
α = 90.00°, β = 90.00°, γ = 90.00°
Positions (direct):
Re1 0.5000 0.0000 0.0000
Re2 0.0000 0.0000 0.5000
Ba1 0.5000 0.5000 0.5000
B1 0.0000 0.0000 0.0000
Ag1 0.0000 0.5000 0.0000

Mass density   11.14 g/cm3
Total magnetization   0.0 μB/cell
Energy relative to the elements   0.885 eV/atom
DOS(E_F)   4.4 states/eV per cell
Symmetry   P4/mmm, No. 123


VASP calculation (PBE) on a relaxed structure of BaAg2BS4.

a = 6.5737 Å, b = 6.0694 Å, c = 6.0694 Å
α = 80.06°, β = 57.21°, γ = 57.21°
Positions (direct):
Ba1 0.0000 0.0000 0.0000
S1 0.6531 0.5371 0.8098
S2 0.3469 0.1902 0.4629
S3 0.9999 0.4629 0.1902
S4 0.0001 0.8098 0.5371
B1 0.0000 0.5000 0.5000
Ag1 0.5000 0.2490 0.7510
Ag2 0.5000 0.7510 0.2490

Mass density   4.85 g/cm3
Total magnetization   0.0 μB/cell
DOS(E_F)   3.1 states/eV per cell
Symmetry   I222, No. 23
Raw formation energy   -0.71 eV per atom


VASP calculation (PBE) on a relaxed structure of Ba2AgB2S6.

a = 6.5667 Å, b = 6.5667 Å, c = 7.9543 Å
α = 65.62°, β = 65.62°, γ = 60.00°
Positions (direct):
Ag1 0.0000 0.0000 0.0000
B1 0.4175 0.4175 0.7474
B2 0.5825 0.5825 0.2526
S1 0.7393 0.7393 0.2622
S2 0.2607 0.7409 0.7378
S3 0.2607 0.2607 0.7378
S4 0.2591 0.7393 0.2622
S5 0.7393 0.2591 0.2622
S6 0.7409 0.2607 0.7378
Ba1 0.7763 0.7763 0.6710
Ba2 0.2237 0.2237 0.3290

Mass density   3.79 g/cm3
Total magnetization   0.0 μB/cell
DOS(E_F)   6.4 states/eV per cell
Symmetry   R-3m, No. 166
Raw formation energy   -0.92 eV per atom


VASP calculation (PBE) on a relaxed structure of Ba3AgB2S6.

a = 6.7546 Å, b = 6.7546 Å, c = 8.4006 Å
α = 90.00°, β = 90.00°, γ = 120.00°
Positions (direct):
Ag1 0.0000 0.0000 0.5000
S1 0.6445 0.8223 0.2802
S2 0.1777 0.3555 0.2802
S3 0.3555 0.1777 0.7198
S4 0.1777 0.8223 0.2802
S5 0.8223 0.1777 0.7198
S6 0.8223 0.6445 0.7198
Ba1 0.6667 0.3333 0.3692
Ba2 0.3333 0.6667 0.6308
Ba3 0.0000 0.0000 0.0000
B1 0.3333 0.6667 0.2636
B2 0.6667 0.3333 0.7364

Mass density   3.67 g/cm3
Total magnetization   0.0 μB/cell
DOS(E_F)   2.3 states/eV per cell
Symmetry   P-3m1, No. 164
Raw formation energy   -1.09 eV per atom


VASP calculation (PBE) on a relaxed structure of BaSc2AgB.

a = 4.8837 Å, b = 4.9264 Å, c = 4.8837 Å
α = 90.00°, β = 90.00°, γ = 90.00°
Each line ends with the local moment (μB).
Positions (direct):
Ag1 0.0000 0.5000 0.0000  0.01
Sc1 0.5000 0.0000 0.0000  0.04
Sc2 0.0000 0.0000 0.5000  0.07
Ba1 0.5000 0.5000 0.5000  0.03
B1 0.0000 0.0000 0.0000  0.01

Mass density   4.89 g/cm3
Total magnetization   0.3 μB/cell
Energy relative to the elements   0.264 eV/atom
DOS(E_F)   5.3 states/eV per cell
Symmetry   P4/mmm, No. 123